Compound: CaSi2Ag
Source: Alexandria
Functional: GGA-PBE
Structure: relaxed

- Formation energy without anion corrections: -0.116 eV per atom
- Crystal system: orthorhombic
- Fermi-level density of states: 0.30 states/eV/atom

Lattice parameters (Å, degrees): 3.721 4.287 10.656 90.00 90.00 90.00
Space group Imm2 (No. 44)
Unique sites:
Ca (0.000, 0.000, 0.000)
Si (0.000, 0.000, 0.382)
Si (0.000, 0.500, 0.735)
Ag (0.000, 0.500, 0.243)